The following is a GGA-PBE calculation of an optimized crystal structure of CsAgTe2OsSe, from the Open Quantum Materials Database.

Lattice parameters (Å, degrees): 8.802 8.802 10.320 90.00 90.00 153.10
Element x y z (fractional)
1 Se 0.559 0.441 0.750
2 Se 0.441 0.559 0.250
3 Te 0.896 0.104 0.513
4 Te 0.104 0.896 0.487
5 Te 0.104 0.896 0.013
6 Te 0.896 0.104 0.987
7 Ag 0.040 0.960 0.250
8 Ag 0.960 0.040 0.750
9 Os 0.500 0.500 0.500
10 Os 0.500 0.500 0.000
11 Cs 0.262 0.738 0.750
12 Cs 0.738 0.262 0.250

Results
VASP energy: -4.18 eV/atom